Arrangement i

A PBEsol-optimized structure of KAg2Ru, computed with SCAN.

```
4
Lattice="5.1931 0.0000 0.0000 0.0000 5.1931 0.0000 0.0000 0.0000 2.6964" Properties=species:S:1:pos:R:3 pbc="T T T"
K 0.0000 0.0000 0.0000
Ag 0.0000 2.5965 1.3482
Ag 2.5965 0.0000 1.3482
Ru 2.5965 2.5965 0.0000
```

Summary:
SG = P4/mmm (123)
total moment = 0.000 μB per formula unit

***

Arrangement ii

A PBEsol-optimized structure of KAg2Ru, computed with SCAN.

```
4
Lattice="2.6943 0.0000 0.0000 0.0000 4.0920 0.0000 0.0000 0.0000 7.3264" Properties=species:S:1:pos:R:3 pbc="T T T"
K 0.0000 0.0000 0.0000
Ag 1.3471 2.0460 2.3177
Ag 1.3471 2.0460 5.0087
Ru 0.0000 0.0000 3.6632
```

Summary:
SG = Pmmm (47)
total moment = 0.000 μB per formula unit

***

Order from most stable to least stable according to the calculation: arrangement ii, arrangement i